(1)
Computed, not measured: crystalline La5Nd5Y2 at its relaxed geometry at the PBE level of DFT.

Summary:
Electronic total energy ... -5.099 eV per atom

Cell: 8.276 8.276 11.619 Å, 115.23 115.23 36.84°
Fractional positions:
La: 0.000 0.000 0.000
La: 0.082 0.082 0.747
La: 0.249 0.249 0.252
La: 0.751 0.751 0.748
La: 0.918 0.918 0.253
Nd: 0.333 0.333 0.000
Nd: 0.415 0.415 0.747
Nd: 0.500 0.500 0.500
Nd: 0.585 0.585 0.253
Nd: 0.667 0.667 0.000
Y: 0.168 0.168 0.500
Y: 0.832 0.832 0.500


(2)
Computed, not measured: crystalline ThAlZnAu2 at its relaxed geometry at the PBE level of DFT.

Summary:
Electronic total energy ... -4.347 eV per atom

Cell: 6.616 6.616 6.616 Å, 143.11 143.11 53.16°
Fractional positions:
Th: 0.000 0.000 0.000
Al: 0.750 0.250 0.500
Zn: 0.250 0.750 0.500
Au: 0.384 0.384 0.000
Au: 0.616 0.616 0.000


(3)
Computed, not measured: crystalline Li24Al5 at its relaxed geometry at the PBE level of DFT.

Summary:
Electronic total energy ... -2.280 eV per atom

Cell: 8.606 8.606 8.606 Å, 109.47 109.47 109.47°
Fractional positions:
Li: 0.000 0.308 0.601
Li: 0.000 0.601 0.308
Li: 0.000 0.633 0.811
Li: 0.000 0.811 0.633
Li: 0.178 0.367 0.367
Li: 0.189 0.189 0.822
Li: 0.189 0.822 0.189
Li: 0.293 0.692 0.692
Li: 0.308 0.000 0.601
Li: 0.308 0.601 0.000
Li: 0.367 0.178 0.367
Li: 0.367 0.367 0.178
Li: 0.399 0.399 0.707
Li: 0.399 0.707 0.399
Li: 0.601 0.000 0.308
Li: 0.601 0.308 0.000
Li: 0.633 0.000 0.811
Li: 0.633 0.811 0.000
Li: 0.692 0.293 0.692
Li: 0.692 0.692 0.293
Li: 0.707 0.399 0.399
Li: 0.811 0.000 0.633
Li: 0.811 0.633 0.000
Li: 0.822 0.189 0.189
Al: 0.000 0.000 0.000
Al: 0.000 0.000 0.357
Al: 0.000 0.357 0.000
Al: 0.357 0.000 0.000
Al: 0.643 0.643 0.643


(4)
Computed, not measured: crystalline YTe2 at its relaxed geometry at the PBE level of DFT.

Summary:
Formation energy from raw total energies ... -1.4 eV/f.u.

Cell: 5.332 5.332 3.607 Å, 90.00 90.00 120.00°
Fractional positions:
Y: 0.000 0.000 0.000
Te: 0.333 0.667 0.500
Te: 0.667 0.333 0.500


(5)
Computed, not measured: crystalline BaInGe2F at its relaxed geometry at the PBE level of DFT.

Summary:
Formation energy from raw total energies ... -2.7 eV/f.u.

Cell: 5.503 5.503 4.548 Å, 90.00 90.00 90.00°
Fractional positions:
Ba: 0.000 0.000 0.000
In: 0.500 0.500 0.500
Ge: 0.000 0.500 0.500
Ge: 0.500 0.000 0.500
F: 0.500 0.500 0.000


(6)
Computed, not measured: crystalline PuSN at its relaxed geometry at the PBE level of DFT.

Summary:
Formation energy from raw total energies ... -2.9 eV/f.u.
Excess energy over the best structure of this formula in the dataset ... 121 meV/atom

Cell: 5.305 5.305 6.583 Å, 116.11 116.11 40.17°
Fractional positions:
Pu: 0.187 0.187 0.248
Pu: 0.813 0.813 0.752
S: 0.426 0.426 0.144
S: 0.574 0.574 0.856
N: 0.208 0.208 0.595
N: 0.792 0.792 0.405


(7)
Computed, not measured: crystalline La2OsPbN at its relaxed geometry at the PBE level of DFT.

Summary:
Formation energy from raw total energies ... -2.8 eV/f.u.

Cell: 5.486 5.486 3.875 Å, 90.00 90.00 90.00°
Fractional positions:
La: 0.000 0.500 0.000
La: 0.500 0.000 0.000
Os: 0.000 0.000 0.500
Pb: 0.500 0.500 0.500
N: 0.000 0.000 0.000


(8)
Computed, not measured: crystalline Ce3PbCO at its relaxed geometry at the PBE level of DFT.

Summary:
Formation energy from raw total energies ... -6.7 eV/f.u.

Cell: 7.953 3.859 9.913 Å, 90.00 112.08 90.00°
Fractional positions:
Ce: 0.051 0.250 0.378
Ce: 0.282 0.250 0.924
Ce: 0.401 0.750 0.657
Ce: 0.599 0.250 0.343
Ce: 0.718 0.750 0.076
Ce: 0.949 0.750 0.622
Pb: 0.215 0.750 0.192
Pb: 0.785 0.250 0.808
C: 0.191 0.250 0.644
C: 0.809 0.750 0.356
O: 0.420 0.750 0.892
O: 0.580 0.250 0.108